Record 1
MgZnIr2 | GGA-PBE | optimized geometry

Results
The density is 13.2 g cm⁻³. As for the raw total energy: -5.284 eV/atom. As for the formation energy: -136 meV/atom. Its crystal system is orthorhombic. The space group is No. 25.

Lattice parameters (Å, degrees): 2.7899 3.9263 5.4567 90.00 90.00 90.00
Sites, in units of the cell vectors:
Mg 0.0000 0.0000 0.0000
Zn 0.5000 0.5000 0.2612
Ir 0.0000 0.0000 0.5012
Ir 0.5000 0.5000 0.7493


Record 2
Mg2Zn12Ir5 | GGA-PBE | optimized geometry

Results
The density is 9.2 g cm⁻³. As for the raw total energy: -3.283 eV/atom. As for the formation energy: 21 meV/atom. Its crystal system is monoclinic. The space group is No. 12.

Lattice parameters (Å, degrees): 7.8034 7.8034 8.4254 105.01 105.01 41.17
Sites, in units of the cell vectors:
Mg 0.2378 0.7622 0.0000
Mg 0.7622 0.2378 0.0000
Zn 0.0206 0.0206 0.3559
Zn 0.0595 0.5262 0.8837
Zn 0.0884 0.5944 0.4180
Zn 0.4032 0.4032 0.1890
Zn 0.4056 0.9116 0.5820
Zn 0.4738 0.9405 0.1163
Zn 0.5262 0.0595 0.8837
Zn 0.5944 0.0884 0.4180
Zn 0.5968 0.5968 0.8110
Zn 0.9116 0.4056 0.5820
Zn 0.9405 0.4738 0.1163
Zn 0.9794 0.9794 0.6441
Ir 0.1327 0.1327 0.8607
Ir 0.1887 0.1887 0.3422
Ir 0.5000 0.5000 0.5000
Ir 0.8113 0.8113 0.6578
Ir 0.8673 0.8673 0.1393